(1)
A plane-wave DFT calculation with GGA-PBE was carried out for a geometry-optimized Ag2SbMo structure.

Unit cell a=4.3492 b=6.0323 c=6.0323 alpha=28.46 beta=90.00 gamma=90.00
Element x y z (fractional)
Ag1 0.0000 0.0000 0.0000
Ag2 0.5000 0.4013 0.4013
Sb1 0.0000 0.2386 0.2386
Mo1 0.5000 0.6522 0.6522

ΔE_f (raw)	9.2	kcal/mol of atoms
magnetization	0.00	μB/f.u.
symmetry	Amm2 (38)
calculated density	9.54	g cm⁻³


(2)
A plane-wave DFT calculation with GGA-PBE was carried out for a geometry-optimized Ce2PrSe3 structure.

Unit cell a=7.3291 b=7.3291 c=7.3291 alpha=146.57 beta=131.91 gamma=59.83
Element x y z (fractional)
Ce1 0.1647 0.1647 0.0000
Ce2 0.8353 0.8353 0.0000
Pr1 0.5000 0.5000 0.0000
Se1 0.0000 0.5000 0.5000
Se2 0.3303 0.8303 0.5000
Se3 0.6697 0.1697 0.5000

ΔE_f (raw)	-42.2	kcal/mol of atoms
magnetization	1.99	μB/f.u.
symmetry	Immm (71)
calculated density	6.83	g cm⁻³


(3)
A plane-wave DFT calculation with GGA-PBE was carried out for a geometry-optimized Si2NiS2 structure.

Unit cell a=4.8256 b=4.8256 c=4.8256 alpha=121.48 beta=121.48 gamma=87.45
Element x y z (fractional)
Si1 0.1697 0.1697 0.0000
Si2 0.8303 0.8303 0.0000
Ni1 0.5000 0.5000 0.0000
S1 0.2500 0.7500 0.5000
S2 0.7500 0.2500 0.5000

ΔE_f (raw)	5.4	kcal/mol of atoms
magnetization	0.00	μB/f.u.
symmetry	I4/mmm (139)
calculated density	3.83	g cm⁻³


Q: What is the formula in the third record?
A: Si2NiS2


Copy entry 1 word for word.
A plane-wave DFT calculation with GGA-PBE was carried out for a geometry-optimized Ag2SbMo structure.

Unit cell a=4.3492 b=6.0323 c=6.0323 alpha=28.46 beta=90.00 gamma=90.00
Element x y z (fractional)
Ag1 0.0000 0.0000 0.0000
Ag2 0.5000 0.4013 0.4013
Sb1 0.0000 0.2386 0.2386
Mo1 0.5000 0.6522 0.6522

ΔE_f (raw)	9.2	kcal/mol of atoms
magnetization	0.00	μB/f.u.
symmetry	Amm2 (38)
calculated density	9.54	g cm⁻³


Q: Among the records above, which one has the lowest calculated density?
A: Si2NiS2